This record from Alexandria describes a relaxed Rb2TlHg9 crystal. The functional is GGA-PBE.

Properties
* space group: No. 194
* energy of formation from the pure elements: -2.36 kcal/mol of atoms
* density of states at the Fermi level: 12.24 states/eV/cell
* relative energy among the computed polymorphs: 0.006 eV/atom
* density: 9.39 g/cm3

a b c (Å): 6.7585 6.7585 19.4897
angles (deg): 90.00 90.00 120.00
Element x y z (fractional)
Rb (0.3333, 0.6667, 0.5444)
Rb (0.6667, 0.3333, 0.0444)
Rb (0.6667, 0.3333, 0.4556)
Rb (0.3333, 0.6667, 0.9556)
Tl (0.3333, 0.6667, 0.7500)
Tl (0.6667, 0.3333, 0.2500)
Hg (0.0000, 0.0000, 0.0000)
Hg (0.0000, 0.0000, 0.5000)
Hg (0.0000, 0.0000, 0.2500)
Hg (0.0000, 0.0000, 0.7500)
Hg (0.3333, 0.6667, 0.2500)
Hg (0.6667, 0.3333, 0.7500)
Hg (0.1715, 0.3430, 0.1244)
Hg (0.6570, 0.8285, 0.1244)
Hg (0.1715, 0.8285, 0.1244)
Hg (0.8285, 0.6570, 0.6244)
Hg (0.3430, 0.1715, 0.6244)
Hg (0.8285, 0.1715, 0.6244)
Hg (0.3430, 0.1715, 0.8756)
Hg (0.8285, 0.6570, 0.8756)
Hg (0.8285, 0.1715, 0.8756)
Hg (0.6570, 0.8285, 0.3756)
Hg (0.1715, 0.3430, 0.3756)
Hg (0.1715, 0.8285, 0.3756)

***

This record from Alexandria describes a relaxed RbTlHg crystal. The functional is GGA-PBE.

Properties
* space group: No. 107
* energy of formation from the pure elements: -2.54 kcal/mol of atoms
* density of states at the Fermi level: 1.45 states/eV/cell
* relative energy among the computed polymorphs: 0.032 eV/atom
* density: 7.34 g/cm3

a b c (Å): 4.1258 4.1258 7.1425
angles (deg): 106.79 106.79 90.00
Element x y z (fractional)
Tl (0.2999, 0.2999, 0.5998)
Hg (0.6952, 0.6952, 0.3903)
Rb (0.0050, 0.0050, 0.0099)

***

This record from Alexandria describes a relaxed Rb8Tl2Hg crystal. The functional is GGA-PBE.

Properties
* space group: No. 71
* energy of formation from the pure elements: -0.10 kcal/mol of atoms
* density of states at the Fermi level: 10.12 states/eV/cell
* density: 3.26 g/cm3

a b c (Å): 6.2901 11.1383 11.3691
angles (deg): 119.33 106.06 90.00
Element x y z (fractional)
Rb (0.6624, 0.8790, 0.3249)
Rb (0.3376, 0.5542, 0.6751)
Rb (0.1413, 0.1413, 0.2826)
Rb (0.0000, 0.3202, 0.0000)
Rb (0.8587, 0.8587, 0.7174)
Rb (0.6624, 0.4458, 0.3249)
Rb (0.3376, 0.1210, 0.6751)
Rb (0.0000, 0.6798, 0.0000)
Tl (0.1954, 0.6954, 0.3908)
Tl (0.8046, 0.3046, 0.6092)
Hg (0.5000, 0.0000, 0.0000)

***

This record from Alexandria describes a relaxed RbTl6Hg crystal. The functional is GGA-PBE.

Properties
* space group: No. 38
* energy of formation from the pure elements: -0.48 kcal/mol of atoms
* density of states at the Fermi level: 4.27 states/eV/cell
* density: 9.17 g/cm3

a b c (Å): 5.0948 6.9003 8.5224
angles (deg): 113.88 90.00 90.00
Element x y z (fractional)
Rb (0.5000, 0.7067, 0.4134)
Tl (0.5000, 0.6637, 0.8630)
Tl (0.5000, 0.1993, 0.8630)
Tl (0.0000, 0.8113, 0.1332)
Tl (0.0000, 0.3219, 0.1332)
Tl (0.0000, 0.2950, 0.5900)
Tl (0.0000, 0.8766, 0.7531)
Hg (0.5000, 0.1255, 0.2510)

***

This record from Alexandria describes a relaxed RbTl2Hg10 crystal. The functional is GGA-PBE.

Properties
* space group: No. 69
* energy of formation from the pure elements: -1.43 kcal/mol of atoms
* density of states at the Fermi level: 4.93 states/eV/cell
* density: 10.35 g/cm3

a b c (Å): 6.6265 8.8610 8.0764
angles (deg): 81.18 65.78 68.04
Element x y z (fractional)
Rb (0.0000, 0.0000, 0.0000)
Tl (0.0000, 0.5000, 0.0000)
Tl (0.5000, 0.5000, 0.0000)
Hg (0.3562, 0.6530, 0.6345)
Hg (0.6438, 0.3470, 0.3655)
Hg (0.0093, 0.3470, 0.6345)
Hg (0.9907, 0.6530, 0.3655)
Hg (0.0000, 0.0000, 0.5000)
Hg (0.5000, 0.0000, 0.5000)
Hg (0.2838, 0.2107, 0.2216)
Hg (0.7162, 0.7893, 0.7784)
Hg (0.4945, 0.7893, 0.2216)
Hg (0.5055, 0.2107, 0.7784)

***

This record from Alexandria describes a relaxed Rb2TlHg crystal. The functional is GGA-PBE.

Properties
* space group: No. 38
* energy of formation from the pure elements: -2.93 kcal/mol of atoms
* density of states at the Fermi level: 2.60 states/eV/cell
* relative energy among the computed polymorphs: 0.000 eV/atom
* density: 4.99 g/cm3

a b c (Å): 5.2447 5.4462 7.2422
angles (deg): 112.09 90.00 90.00
Element x y z (fractional)
Rb (0.0000, 0.9761, 0.9523)
Rb (0.5000, 0.2749, 0.5499)
Tl (0.0000, 0.6802, 0.3605)
Hg (0.5000, 0.5679, 0.1359)

***

This record from Alexandria describes a relaxed Rb6TlHg12 crystal. The functional is GGA-PBE.

Properties
* space group: No. 148
* energy of formation from the pure elements: -4.18 kcal/mol of atoms
* density of states at the Fermi level: 10.23 states/eV/cell
* density: 6.65 g/cm3

a b c (Å): 9.3981 9.3981 9.3981
angles (deg): 100.78 100.78 100.78
Element x y z (fractional)
Rb (0.0625, 0.2524, 0.4438)
Rb (0.7476, 0.5562, 0.9375)
Rb (0.5562, 0.9375, 0.7476)
Rb (0.9375, 0.7476, 0.5562)
Rb (0.2524, 0.4438, 0.0625)
Rb (0.4438, 0.0625, 0.2524)
Tl (0.0000, 0.0000, 0.0000)
Hg (0.4397, 0.2639, 0.6484)
Hg (0.2639, 0.6484, 0.4397)
Hg (0.6484, 0.4397, 0.2639)
Hg (0.5603, 0.7361, 0.3516)
Hg (0.7361, 0.3516, 0.5603)
Hg (0.3516, 0.5603, 0.7361)
Hg (0.2150, 0.0796, 0.7795)
Hg (0.2205, 0.7850, 0.9204)
Hg (0.9204, 0.2205, 0.7850)
Hg (0.7850, 0.9204, 0.2205)
Hg (0.7795, 0.2150, 0.0796)
Hg (0.0796, 0.7795, 0.2150)

***

This record from Alexandria describes a relaxed RbTl6Hg4 crystal. The functional is GGA-PBE.

Properties
* space group: No. 121
* energy of formation from the pure elements: 0.53 kcal/mol of atoms
* density of states at the Fermi level: 6.09 states/eV/cell
* relative energy among the computed polymorphs: 0.100 eV/atom
* density: 8.86 g/cm3

a b c (Å): 8.1296 8.1296 8.1296
angles (deg): 95.65 116.79 116.79
Element x y z (fractional)
Rb (0.0000, 0.0000, 0.0000)
Tl (0.0000, 0.7740, 0.4869)
Tl (0.0000, 0.4869, 0.7740)
Tl (0.7129, 0.2260, 0.2260)
Tl (0.5000, 0.0000, 0.5000)
Tl (0.2871, 0.5131, 0.5131)
Tl (0.5000, 0.5000, 0.0000)
Hg (0.0000, 0.1357, 0.5815)
Hg (0.5542, 0.4185, 0.4185)
Hg (0.0000, 0.5815, 0.1357)
Hg (0.4458, 0.8643, 0.8643)